--- one ---
The following is a DFT calculation (PBE-GGA) of a relaxed structure of Co3AsC.

Cell lengths 4.2947, 4.2947, 4.2947 Å; angles 90.00, 90.00, 90.00 degrees
Space group Pm-3m (No. 221)
Symmetry-distinct sites (fractional):
Co (0.0000, 0.0000, 0.5000) [3 per cell]
As (0.0000, 0.0000, 0.0000) [1 per cell]
C (0.5000, 0.5000, 0.5000) [1 per cell]

=====

--- two ---
The following is a DFT calculation (PBE-GGA) of a relaxed structure of Co3AsC.

Cell lengths 3.8058, 3.8058, 3.8058 Å; angles 90.00, 90.00, 90.00 degrees
Space group Pm-3m (No. 221)
Symmetry-distinct sites (fractional):
Co (0.0000, 0.0000, 0.5000) [3 per cell]
As (0.5000, 0.5000, 0.5000) [1 per cell]
C (0.0000, 0.0000, 0.0000) [1 per cell]

=====

It is two that is the most stable of them.

=====

--- one ---
The following is a DFT calculation (PBE-GGA) of a relaxed structure of CoAsC3.

Cell lengths 3.7889, 3.7889, 3.7889 Å; angles 90.00, 90.00, 90.00 degrees
Space group Pm-3m (No. 221)
Symmetry-distinct sites (fractional):
Co (0.0000, 0.0000, 0.0000) [1 per cell]
As (0.5000, 0.5000, 0.5000) [1 per cell]
C (0.0000, 0.0000, 0.5000) [3 per cell]

=====

--- two ---
The following is a DFT calculation (PBE-GGA) of a relaxed structure of CoAsC3.

Cell lengths 3.8460, 3.8460, 3.8460 Å; angles 90.00, 90.00, 90.00 degrees
Space group Pm-3m (No. 221)
Symmetry-distinct sites (fractional):
Co (0.0000, 0.0000, 0.0000) [1 per cell]
As (0.5000, 0.5000, 0.5000) [1 per cell]
C (0.0000, 0.5000, 0.5000) [3 per cell]

=====

It is one that is the most stable of them.

=====

--- one ---
The following is a DFT calculation (PBE-GGA) of a relaxed structure of CoAsCSe2.

Cell lengths 4.7413, 4.7413, 4.3495 Å; angles 90.00, 90.00, 90.00 degrees
Space group P4/mmm (No. 123)
Symmetry-distinct sites (fractional):
Co (0.0000, 0.0000, 0.0000) [1 per cell]
As (0.0000, 0.0000, 0.5000) [1 per cell]
C (0.5000, 0.5000, 0.5000) [1 per cell]
Se (0.0000, 0.5000, 0.0000) [2 per cell]

=====

--- two ---
The following is a DFT calculation (PBE-GGA) of a relaxed structure of CoAsCSe2.

Cell lengths 4.3842, 4.3842, 4.1999 Å; angles 90.00, 90.00, 90.00 degrees
Space group P4/mmm (No. 123)
Symmetry-distinct sites (fractional):
Co (0.0000, 0.0000, 0.0000) [1 per cell]
As (0.5000, 0.5000, 0.0000) [1 per cell]
C (0.5000, 0.5000, 0.5000) [1 per cell]
Se (0.0000, 0.5000, 0.5000) [2 per cell]

=====

It is two that is the most stable of them.

=====

--- one ---
The following is a DFT calculation (PBE-GGA) of a relaxed structure of CrAs2CSe.

Cell lengths 4.2500, 4.2500, 4.2975 Å; angles 90.00, 90.00, 90.00 degrees
Space group P4/mmm (No. 123)
Symmetry-distinct sites (fractional):
Cr (0.0000, 0.0000, 0.0000) [1 per cell]
As (0.0000, 0.5000, 0.5000) [2 per cell]
C (0.5000, 0.5000, 0.5000) [1 per cell]
Se (0.5000, 0.5000, 0.0000) [1 per cell]

=====

--- two ---
The following is a DFT calculation (PBE-GGA) of a relaxed structure of CrAs2CSe.

Cell lengths 4.6560, 4.6560, 4.5847 Å; angles 90.00, 90.00, 90.00 degrees
Space group P4/mmm (No. 123)
Symmetry-distinct sites (fractional):
Cr (0.0000, 0.0000, 0.0000) [1 per cell]
As (0.0000, 0.5000, 0.0000) [2 per cell]
C (0.5000, 0.5000, 0.5000) [1 per cell]
Se (0.0000, 0.0000, 0.5000) [1 per cell]

=====

--- three ---
The following is a DFT calculation (PBE-GGA) of a relaxed structure of CrAs2CSe.

Cell lengths 5.0611, 5.0611, 4.4265 Å; angles 90.00, 90.00, 90.00 degrees
Space group P4/mmm (No. 123)
Symmetry-distinct sites (fractional):
Cr (0.0000, 0.0000, 0.0000) [1 per cell]
As (0.0000, 0.5000, 0.5000) [2 per cell]
C (0.5000, 0.5000, 0.0000) [1 per cell]
Se (0.0000, 0.0000, 0.5000) [1 per cell]

=====

It is one that is the most stable of them.

=====

--- one ---
The following is a DFT calculation (PBE-GGA) of a relaxed structure of CsAs3C.

Cell lengths 4.7719, 4.7719, 4.7719 Å; angles 90.00, 90.00, 90.00 degrees
Space group Pm-3m (No. 221)
Symmetry-distinct sites (fractional):
Cs (0.0000, 0.0000, 0.0000) [1 per cell]
As (0.0000, 0.5000, 0.5000) [3 per cell]
C (0.5000, 0.5000, 0.5000) [1 per cell]

=====

--- two ---
The following is a DFT calculation (PBE-GGA) of a relaxed structure of CsAs3C.

Cell lengths 5.7173, 5.7173, 5.7173 Å; angles 90.00, 90.00, 90.00 degrees
Space group Pm-3m (No. 221)
Symmetry-distinct sites (fractional):
Cs (0.0000, 0.0000, 0.0000) [1 per cell]
As (0.0000, 0.0000, 0.5000) [3 per cell]
C (0.5000, 0.5000, 0.5000) [1 per cell]

=====

It is one that is the most stable of them.

=====

--- one ---
The following is a DFT calculation (PBE-GGA) of a relaxed structure of CuAsC3.

Cell lengths 3.8995, 3.8995, 3.8995 Å; angles 90.00, 90.00, 90.00 degrees
Space group Pm-3m (No. 221)
Symmetry-distinct sites (fractional):
Cu (0.0000, 0.0000, 0.0000) [1 per cell]
As (0.5000, 0.5000, 0.5000) [1 per cell]
C (0.0000, 0.5000, 0.5000) [3 per cell]

=====

--- two ---
The following is a DFT calculation (PBE-GGA) of a relaxed structure of CuAsC3.

Cell lengths 3.8881, 3.8881, 3.8881 Å; angles 90.00, 90.00, 90.00 degrees
Space group Pm-3m (No. 221)
Symmetry-distinct sites (fractional):
Cu (0.0000, 0.0000, 0.0000) [1 per cell]
As (0.5000, 0.5000, 0.5000) [1 per cell]
C (0.0000, 0.0000, 0.5000) [3 per cell]

=====

It is one that is the most stable of them.

=====

--- one ---
The following is a DFT calculation (PBE-GGA) of a relaxed structure of KCuAs2C.

Cell lengths 4.5934, 4.5934, 6.0430 Å; angles 90.00, 90.00, 90.00 degrees
Space group P4/mmm (No. 123)
Symmetry-distinct sites (fractional):
K (0.0000, 0.0000, 0.0000) [1 per cell]
Cu (0.0000, 0.0000, 0.5000) [1 per cell]
As (0.0000, 0.5000, 0.5000) [2 per cell]
C (0.5000, 0.5000, 0.0000) [1 per cell]

=====

--- two ---
The following is a DFT calculation (PBE-GGA) of a relaxed structure of KCuAs2C.

Cell lengths 4.8321, 4.8321, 3.9133 Å; angles 90.00, 90.00, 90.00 degrees
Space group P4/mmm (No. 123)
Symmetry-distinct sites (fractional):
K (0.0000, 0.0000, 0.0000) [1 per cell]
Cu (0.5000, 0.5000, 0.0000) [1 per cell]
As (0.0000, 0.5000, 0.5000) [2 per cell]
C (0.5000, 0.5000, 0.5000) [1 per cell]

=====

It is two that is the most stable of them.

=====

--- one ---
The following is a DFT calculation (PBE-GGA) of a relaxed structure of CuAs2CSe.

Cell lengths 4.3015, 4.3015, 4.4251 Å; angles 90.00, 90.00, 90.00 degrees
Space group P4/mmm (No. 123)
Symmetry-distinct sites (fractional):
Cu (0.0000, 0.0000, 0.0000) [1 per cell]
As (0.0000, 0.5000, 0.5000) [2 per cell]
C (0.5000, 0.5000, 0.5000) [1 per cell]
Se (0.5000, 0.5000, 0.0000) [1 per cell]

=====

--- two ---
The following is a DFT calculation (PBE-GGA) of a relaxed structure of CuAs2CSe.

Cell lengths 4.6297, 4.6297, 4.7830 Å; angles 90.00, 90.00, 90.00 degrees
Space group P4/mmm (No. 123)
Symmetry-distinct sites (fractional):
Cu (0.0000, 0.0000, 0.0000) [1 per cell]
As (0.0000, 0.5000, 0.0000) [2 per cell]
C (0.5000, 0.5000, 0.5000) [1 per cell]
Se (0.0000, 0.0000, 0.5000) [1 per cell]

=====

It is one that is the most stable of them.

=====

--- one ---
The following is a DFT calculation (PBE-GGA) of a relaxed structure of As2CF.

Cell lengths 5.5416, 5.5416, 8.8158 Å; angles 90.00, 90.00, 90.00 degrees
Space group I-42d (No. 122)
Symmetry-distinct sites (fractional):
As (0.1913, 0.2500, 0.1250) [8 per cell]
C (0.0000, 0.0000, 0.0000) [4 per cell]
F (0.0000, 0.0000, 0.5000) [4 per cell]

=====

--- two ---
The following is a DFT calculation (PBE-GGA) of a relaxed structure of As2CF.

Cell lengths 5.8870, 5.8870, 5.8870 Å; angles 90.00, 90.00, 90.00 degrees
Space group Fm-3m (No. 225)
Symmetry-distinct sites (fractional):
As (0.2500, 0.2500, 0.2500) [8 per cell]
C (0.0000, 0.0000, 0.0000) [4 per cell]
F (0.0000, 0.0000, 0.5000) [4 per cell]

=====

It is one that is the most stable of them.

=====

--- one ---
The following is a DFT calculation (PBE-GGA) of a relaxed structure of FeAs3C.

Cell lengths 4.2197, 4.2197, 4.2197 Å; angles 90.00, 90.00, 90.00 degrees
Space group Pm-3m (No. 221)
Symmetry-distinct sites (fractional):
Fe (0.0000, 0.0000, 0.0000) [1 per cell]
As (0.0000, 0.5000, 0.5000) [3 per cell]
C (0.5000, 0.5000, 0.5000) [1 per cell]

=====

--- two ---
The following is a DFT calculation (PBE-GGA) of a relaxed structure of FeAs3C.

Cell lengths 4.4690, 4.4690, 4.4690 Å; angles 90.00, 90.00, 90.00 degrees
Space group Pm-3m (No. 221)
Symmetry-distinct sites (fractional):
Fe (0.0000, 0.0000, 0.0000) [1 per cell]
As (0.0000, 0.0000, 0.5000) [3 per cell]
C (0.5000, 0.5000, 0.5000) [1 per cell]

=====

It is one that is the most stable of them.

=====

--- one ---
The following is a DFT calculation (PBE-GGA) of a relaxed structure of FeAsCSe2.

Cell lengths 4.6502, 4.6502, 4.4053 Å; angles 90.00, 90.00, 90.00 degrees
Space group P4/mmm (No. 123)
Symmetry-distinct sites (fractional):
Fe (0.0000, 0.0000, 0.0000) [1 per cell]
As (0.0000, 0.0000, 0.5000) [1 per cell]
C (0.5000, 0.5000, 0.5000) [1 per cell]
Se (0.0000, 0.5000, 0.0000) [2 per cell]

=====

--- two ---
The following is a DFT calculation (PBE-GGA) of a relaxed structure of FeAsCSe2.

Cell lengths 4.3028, 4.3028, 4.1817 Å; angles 90.00, 90.00, 90.00 degrees
Space group P4/mmm (No. 123)
Symmetry-distinct sites (fractional):
Fe (0.0000, 0.0000, 0.0000) [1 per cell]
As (0.5000, 0.5000, 0.0000) [1 per cell]
C (0.5000, 0.5000, 0.5000) [1 per cell]
Se (0.0000, 0.5000, 0.5000) [2 per cell]

=====

It is two that is the most stable of them.

=====

--- one ---
The following is a DFT calculation (PBE-GGA) of a relaxed structure of FeAs2CSe.

Cell lengths 4.2105, 4.2105, 4.2727 Å; angles 90.00, 90.00, 90.00 degrees
Space group P4/mmm (No. 123)
Symmetry-distinct sites (fractional):
Fe (0.0000, 0.0000, 0.0000) [1 per cell]
As (0.0000, 0.5000, 0.5000) [2 per cell]
C (0.5000, 0.5000, 0.5000) [1 per cell]
Se (0.5000, 0.5000, 0.0000) [1 per cell]

=====

--- two ---
The following is a DFT calculation (PBE-GGA) of a relaxed structure of FeAs2CSe.

Cell lengths 4.3881, 4.3881, 4.9566 Å; angles 90.00, 90.00, 90.00 degrees
Space group P4/mmm (No. 123)
Symmetry-distinct sites (fractional):
Fe (0.0000, 0.0000, 0.0000) [1 per cell]
As (0.0000, 0.5000, 0.0000) [2 per cell]
C (0.5000, 0.5000, 0.5000) [1 per cell]
Se (0.0000, 0.0000, 0.5000) [1 per cell]

=====

It is one that is the most stable of them.